<1>
! CdCo2AuO | the Alexandria database | PBE+U | optimized geometry; values from VASP
&SYSTEM
  ibrav = 0, nat = 5, ntyp = 4
/
ATOMIC_SPECIES
Cd 112.41 Cd.upf
Co 58.93 Co.upf
Au 196.97 Au.upf
O 16.00 O.upf
CELL_PARAMETERS angstrom
4.9682 0.0000 0.0000
0.0000 4.9682 0.0000
0.0000 0.0000 3.9615
ATOMIC_POSITIONS crystal
Cd 0.0000 0.0000 0.0000
Co 0.0000 0.5000 0.0000
Co 0.5000 0.0000 0.0000
Au 0.5000 0.5000 0.5000
O 0.0000 0.0000 0.5000
! - Space-group type: P4/mmm (123)



<2>
! CdCo2AuO | the Alexandria database | PBE+U | optimized geometry; values from VASP
&SYSTEM
  ibrav = 0, nat = 5, ntyp = 4
/
ATOMIC_SPECIES
Cd 112.41 Cd.upf
Co 58.93 Co.upf
Au 196.97 Au.upf
O 16.00 O.upf
CELL_PARAMETERS angstrom
3.8070 0.0000 0.0000
0.0000 3.8070 0.0000
0.0000 0.0000 6.0736
ATOMIC_POSITIONS crystal
Cd 0.0000 0.0000 0.0000
Co 0.0000 0.5000 0.5000
Co 0.5000 0.0000 0.5000
Au 0.5000 0.5000 0.0000
O 0.5000 0.5000 0.5000
! - Space-group type: P4/mmm (123)



Most stable structure among those shown: <2>. Next: +1047 meV per atom.